[1]
Material: Ta2AgW
Method: DFT, PBEsol
State: relaxed

Properties
Formation energy from the elements   331 meV per atom
DOS(E_F)   1.05 states/eV per atom
Space-group type   Imm2

Cell: 3.424 4.458 5.241 Å, 115.17 109.07 90.00°
Positions (direct):
Ag1 0.246 0.746 0.493
W1 0.491 0.491 0.982
Ta1 0.005 0.005 0.011
Ta2 0.757 0.257 0.514



[2]
Material: Y5Cd
Method: DFT, PBEsol
State: relaxed

Properties
Formation energy from the elements   -56 meV per atom
DOS(E_F)   1.43 states/eV per atom
Space-group type   Amm2

Cell: 3.602 5.460 8.945 Å, 90.00 101.62 90.00°
Positions (direct):
Y1 0.219 0.500 0.439
Y2 0.343 0.000 0.686
Y3 0.546 0.500 0.091
Y4 0.668 0.000 0.335
Y5 0.889 0.500 0.777
Cd1 0.002 0.000 0.005



[3]
Material: Li2SiSbAu
Method: DFT, PBEsol
State: relaxed

Properties
Energy relative to the elements, uncorrected   -0.0436 eV/atom
DOS(E_F)   0.32 states/eV per atom
Space-group type   P4/mmm

Cell: 4.596 4.776 4.776 Å, 90.00 90.00 90.00°
Positions (direct):
Sb1 0.500 0.500 0.500
Si1 0.500 0.000 0.000
Au1 0.000 0.000 0.000
Li1 0.000 0.000 0.500
Li2 0.000 0.500 0.000



[4]
Material: SrMg2Hg
Method: DFT, PBEsol
State: relaxed

Properties
Formation energy from the elements   -245 meV per atom
DOS(E_F)   0.55 states/eV per atom
Space-group type   R3m

Cell: 4.919 4.919 6.101 Å, 66.22 66.22 60.00°
Positions (direct):
Sr1 0.492 0.492 0.523
Mg1 0.022 0.022 0.935
Mg2 0.286 0.286 0.143
Hg1 0.697 0.697 0.910



[5]
Material: BaGaN2F
Method: DFT, PBEsol
State: relaxed

Properties
Energy relative to the elements, uncorrected   0.6434 eV/atom
DOS(E_F)   0.45 states/eV per atom
Space-group type   P4/mmm

Cell: 4.859 5.210 5.210 Å, 90.00 90.00 90.00°
Positions (direct):
N1 0.000 0.000 0.500
N2 0.000 0.500 0.000
Ba1 0.000 0.000 0.000
Ga1 0.500 0.500 0.500
F1 0.500 0.000 0.000



[6]
Material: TaMnPt
Method: DFT, PBEsol
State: relaxed

Properties
Formation energy from the elements   -223 meV per atom
DOS(E_F)   1.00 states/eV per atom
Space-group type   I4mm

Cell: 2.774 2.774 6.089 Å, 103.15 103.15 90.08°
Positions (direct):
Mn1 0.998 0.998 0.997
Pt1 0.339 0.339 0.677
Ta1 0.663 0.663 0.326



[7]
Material: LiZrCo
Method: DFT, PBEsol
State: relaxed

Properties
Formation energy from the elements   67 meV per atom
DOS(E_F)   0.79 states/eV per atom
Space-group type   I4mm

Cell: 3.213 3.213 4.947 Å, 108.95 108.95 90.00°
Positions (direct):
Co1 0.008 0.008 0.017
Zr1 0.645 0.645 0.289
Li1 0.347 0.347 0.694



[8]
Material: SrFePt2
Method: DFT, PBEsol
State: relaxed

Properties
Formation energy from the elements   -194 meV per atom
DOS(E_F)   0.60 states/eV per atom
Space-group type   P4/mmm

Cell: 3.120 3.120 7.328 Å, 90.00 90.00 90.00°
Positions (direct):
Fe1 0.500 0.500 0.500
Pt1 0.000 0.000 0.691
Pt2 0.000 0.000 0.309
Sr1 0.500 0.500 0.000



[9]
Material: LiYZr2
Method: DFT, PBEsol
State: relaxed

Properties
Formation energy from the elements   138 meV per atom
DOS(E_F)   0.99 states/eV per atom
Space-group type   Immm

Cell: 3.342 5.004 6.132 Å, 114.08 105.81 90.00°
Positions (direct):
Li1 0.500 0.000 0.000
Y1 0.000 0.500 0.000
Zr1 0.778 0.778 0.557
Zr2 0.222 0.222 0.443



[10]
Material: LaNdCuO4
Method: DFT, PBEsol
State: relaxed

Properties
Energy relative to the elements, uncorrected   -2.6425 eV/atom
DOS(E_F)   0.04 states/eV per atom
Space-group type   I4mm

Cell: 3.937 3.937 6.764 Å, 106.92 106.92 90.00°
Positions (direct):
Nd1 0.352 0.352 0.705
O1 0.253 0.753 0.505
O2 0.753 0.253 0.505
O3 0.998 0.498 0.996
O4 0.498 0.998 0.996
Cu1 0.997 0.997 0.994
La1 0.650 0.650 0.300



[11]
Material: Si2Tc
Method: DFT, PBEsol
State: relaxed

Properties
Energy relative to the elements, uncorrected   0.0681 eV/atom
DOS(E_F)   0.51 states/eV per atom
Space-group type   P6/mmm

Cell: 2.475 4.463 4.463 Å, 120.00 90.00 90.00°
Positions (direct):
Si1 0.000 0.667 0.333
Si2 0.000 0.333 0.667
Tc1 0.000 0.000 0.000



[12]
Material: BaMg3B
Method: DFT, PBEsol
State: relaxed

Properties
Formation energy from the elements   2097 meV per atom
DOS(E_F)   1.50 states/eV per atom
Space-group type   Pm-3m

Cell: 6.476 6.476 6.476 Å, 90.00 90.00 90.00°
Positions (direct):
Mg1 0.000 0.500 0.000
Mg2 0.000 0.000 0.500
Mg3 0.500 0.000 0.000
B1 0.500 0.500 0.500
Ba1 0.000 0.000 0.000



M_tot for the records above, in order: 0.00; 0.00; 0.00; 0.00; 4.00; 2.66; 0.12; 3.53; 0.00; 0.00; 0.00; 1.69 μB per cell